# CaV2F6 | Alexandria | PBE with a Hubbard U | optimized geometry
# **Total DFT energy (no corrections)**: -52.51 eV per cell
# **Spin magnetization**: 6.000 μB per formula unit
# **Volume**: 22.48 A^3/atom
data_CaV2F6
_symmetry_space_group_name_H-M 'P 1'
_symmetry_Int_Tables_number 1
_symmetry_space_group_name_Hall 'P 1'
_cell_length_a 5.334
_cell_length_b 6.617
_cell_length_c 6.617
_cell_angle_alpha 120.00
_cell_angle_beta 90.00
_cell_angle_gamma 90.00
loop_
_atom_site_label
_atom_site_fract_x
_atom_site_fract_y
_atom_site_fract_z
V1 0.283 0.667 0.333
F1 0.230 0.833 0.666
F2 0.770 0.666 0.833
V2 0.717 0.333 0.667
F3 0.770 0.167 0.334
F4 0.230 0.833 0.167
F5 0.770 0.167 0.833
Ca1 0.000 0.000 0.000
F6 0.230 0.334 0.167